Entry 1:
V3CoRh2: relaxed, PBE-GGA.

```
V3CoRh2
1.0
3.759 0.000 0.728
1.879 5.703 0.363
2.396 -0.001 7.796
V Co Rh
6 2 4
direct
0.409 0.659 0.762
0.255 0.000 0.245
0.591 0.341 0.238
0.933 0.658 0.238
0.067 0.342 0.762
0.745 0.000 0.755
0.669 0.661 0.000
0.331 0.339 0.000
0.000 0.000 0.000
0.500 0.000 0.500
0.167 0.667 0.500
0.833 0.333 0.500
```

Output
- ΔH_f (0 K): -0.28 eV/atom
- VASP energy: -8.47 eV per atom


Entry 2:
V2CoRh9: relaxed, PBE-GGA.

```
V2CoRh9
1.0
-3.048 2.268 0.157
-2.135 -2.766 -1.501
-2.343 -3.873 10.467
V Co Rh
2 1 9
direct
0.000 0.000 0.331
0.000 0.000 0.669
0.000 0.000 0.000
0.500 0.500 0.000
0.500 0.500 0.334
0.500 0.500 0.666
0.500 0.000 0.168
0.500 0.000 0.500
0.500 0.000 0.832
0.000 0.500 0.168
0.000 0.500 0.500
0.000 0.500 0.832
```

Output
- ΔH_f (0 K): -0.24 eV/atom
- VASP energy: -7.86 eV per atom


Entry 3:
V4Co2Rh: relaxed, PBE-GGA.

```
V4Co2Rh
1.0
-3.780 -1.690 -1.731
2.085 -0.646 -3.921
0.741 -6.483 -1.106
Co Rh V
2 1 4
direct
0.396 0.396 0.209
0.604 0.604 0.791
0.000 0.000 0.000
0.210 0.210 0.580
0.790 0.790 0.420
0.000 0.500 0.000
0.500 0.000 0.000
```

Output
- ΔH_f (0 K): 0.94 eV/atom
- VASP energy: -7.35 eV per atom


Entry 4:
VCoRh2: relaxed, PBE-GGA.

```
VCoRh2
1.0
0.985 0.260 4.104
-1.031 3.457 2.207
-3.050 -0.189 2.923
Rh Co V
2 1 1
direct
0.250 0.250 0.250
0.750 0.750 0.750
0.500 0.500 0.500
0.000 0.000 0.000
```

Output
- ΔH_f (0 K): -0.10 eV/atom
- VASP energy: -7.83 eV per atom


Entry 5:
VCoRh2: relaxed, PBE-GGA.

```
VCoRh2
1.0
-0.189 -0.676 -2.594
-2.148 -1.354 -0.883
-4.743 6.673 -2.786
V Co Rh
1 1 2
direct
0.666 0.666 0.001
0.501 0.501 0.498
0.083 0.083 0.751
0.250 0.250 0.250
```

Output
- ΔH_f (0 K): -0.13 eV/atom
- VASP energy: -7.86 eV per atom


Entry 6:
V2CoRh2: relaxed, PBE-GGA.

```
V2CoRh2
1.0
-1.536 -1.465 2.954
-2.395 -1.744 -2.110
1.625 -6.098 0.060
Rh Co V
2 1 2
direct
0.394 0.394 0.211
0.606 0.606 0.789
0.000 0.000 0.000
0.750 0.250 0.500
0.250 0.750 0.500
```

Output
- ΔH_f (0 K): 0.31 eV/atom
- VASP energy: -7.70 eV per atom
- Distance to the lowest polymorph of the same formula: 309 meV/atom


The N(E_F) results, record by record, are as follows: 7.322, 11.645, 11.790, 7.630, 4.137, 7.084 states/eV/f.u..